Crystalline HgS2ClO at its relaxed geometry, computed with PBE.

## Properties
Raw total energy ... -1.748 eV per atom
ΔE to the lowest computed polymorph ... 608 meV/atom
Fermi-level density of states ... 10.03 states/eV/cell
Formation energy (no corrections) ... 1325 meV/atom
Symmetry ... P4/mmm, No. 123
V ... 27.69 Å³ per atom

a b c (Å): 5.1395 5.1395 5.2415
angles (deg): 90.00 90.00 90.00
Element x y z (fractional)
S 0.0000 0.5000 0.0000
Hg 0.0000 0.0000 0.0000
Cl 0.0000 0.0000 0.5000
S 0.5000 0.0000 0.0000
O 0.5000 0.5000 0.5000